No. 1
Pr6TlAs2S3: relaxed, PBE. Values from VASP.

Cell and atoms, written as Quantum ESPRESSO input:
```
&SYSTEM
  ibrav = 0, nat = 12, ntyp = 4
/
ATOMIC_SPECIES
Pr 140.91 Pr.upf
Tl 204.38 Tl.upf
As 74.92 As.upf
S 32.06 S.upf
CELL_PARAMETERS angstrom
9.2762 -2.1133 0.0000
9.2762 2.1133 0.0000
-1.9304 0.0000 8.3526
ATOMIC_POSITIONS crystal
Pr 0.0007 0.0007 0.2302
Pr 0.3274 0.3274 0.4133
Pr 0.3326 0.3326 0.9172
Pr 0.6674 0.6674 0.0828
Pr 0.6726 0.6726 0.5867
Pr 0.9993 0.9993 0.7698
Tl 0.5000 0.5000 0.5000
As 0.1671 0.1671 0.8341
As 0.8329 0.8329 0.1659
S 0.1673 0.1673 0.3321
S 0.5000 0.5000 0.0000
S 0.8327 0.8327 0.6679
```

Properties
The density of states at the Fermi level is 0.36 states/eV/atom. The calculation puts the total moment at 0.000 μB/cell. Its total energy is -71.3 eV/cell. For the uncorrected formation energy, the calculation gives -18.54 eV/f.u.

=====

No. 2
PrTmAsS: relaxed, PBE. Values from VASP.

Cell and atoms, written as Quantum ESPRESSO input:
```
&SYSTEM
  ibrav = 0, nat = 4, ntyp = 4
/
ATOMIC_SPECIES
Pr 140.91 Pr.upf
Tm 168.93 Tm.upf
As 74.92 As.upf
S 32.06 S.upf
CELL_PARAMETERS angstrom
2.0023 1.1561 7.0847
-2.0023 1.1561 7.0847
0.0000 -2.3121 7.0847
ATOMIC_POSITIONS crystal
Pr 0.0000 0.0000 0.0000
Tm 0.1727 0.1727 0.1727
As 0.5796 0.5796 0.5796
S 0.7606 0.7606 0.7606
```

Properties
The density of states at the Fermi level is 0.51 states/eV/atom. The calculation puts the total moment at 0.464 μB/cell. Its total energy is -24.7 eV/cell. For the uncorrected formation energy, the calculation gives -6.70 eV/f.u.

=====

No. 3
PrYAsS: relaxed, PBE. Values from VASP.

Cell and atoms, written as Quantum ESPRESSO input:
```
&SYSTEM
  ibrav = 0, nat = 4, ntyp = 4
/
ATOMIC_SPECIES
Pr 140.91 Pr.upf
Y 88.91 Y.upf
As 74.92 As.upf
S 32.06 S.upf
CELL_PARAMETERS angstrom
2.0627 1.1909 6.7207
-2.0627 1.1909 6.7207
0.0000 -2.3818 6.7207
ATOMIC_POSITIONS crystal
Pr 0.0000 0.0000 0.0000
Y 0.4991 0.4991 0.4991
As 0.2453 0.2453 0.2453
S 0.7542 0.7542 0.7542
```

Properties
The density of states at the Fermi level is 0.43 states/eV/atom. The calculation puts the total moment at 0.000 μB/cell. Its total energy is -27.2 eV/cell. For the uncorrected formation energy, the calculation gives -7.17 eV/f.u.

=====

No. 4
Pr2SbAs: relaxed, PBE. Values from VASP.

Cell and atoms, written as Quantum ESPRESSO input:
```
&SYSTEM
  ibrav = 0, nat = 4, ntyp = 3
/
ATOMIC_SPECIES
Pr 140.91 Pr.upf
Sb 121.76 Sb.upf
As 74.92 As.upf
CELL_PARAMETERS angstrom
2.1927 1.2660 7.5259
-2.1927 1.2660 7.5259
0.0000 -2.5320 7.5259
ATOMIC_POSITIONS crystal
Pr 0.0000 0.0000 0.0000
Pr 0.1807 0.1807 0.1807
Sb 0.4229 0.4229 0.4229
As 0.5917 0.5917 0.5917
```

Properties
The density of states at the Fermi level is 0.16 states/eV/atom. The calculation puts the total moment at 0.000 μB/cell. Its total energy is -23.2 eV/cell. For the uncorrected formation energy, the calculation gives -4.90 eV/f.u.

=====

No. 5
Pr3SbAs2: relaxed, PBE. Values from VASP.

Cell and atoms, written as Quantum ESPRESSO input:
```
&SYSTEM
  ibrav = 0, nat = 12, ntyp = 3
/
ATOMIC_SPECIES
Pr 140.91 Pr.upf
Sb 121.76 Sb.upf
As 74.92 As.upf
CELL_PARAMETERS angstrom
2.4436 -7.2233 0.0000
2.4436 7.2233 0.0000
0.0000 0.0000 10.3747
ATOMIC_POSITIONS crystal
Pr 0.1071 0.8929 0.7500
Pr 0.3754 0.6246 0.5583
Pr 0.3754 0.6246 0.9417
Pr 0.6246 0.3754 0.0583
Pr 0.6246 0.3754 0.4417
Pr 0.8929 0.1071 0.2500
Sb 0.2282 0.7718 0.2500
Sb 0.7718 0.2282 0.7500
As 0.0000 0.0000 0.0000
As 0.0000 0.0000 0.5000
As 0.4850 0.5150 0.2500
As 0.5150 0.4850 0.7500
```

Properties
The density of states at the Fermi level is 0.27 states/eV/atom. The calculation puts the total moment at 0.000 μB/cell. Its total energy is -67.1 eV/cell. For the uncorrected formation energy, the calculation gives -5.81 eV/f.u.

=====

No. 6
Pr3Sb2As: relaxed, PBE. Values from VASP.

Cell and atoms, written as Quantum ESPRESSO input:
```
&SYSTEM
  ibrav = 0, nat = 6, ntyp = 3
/
ATOMIC_SPECIES
Pr 140.91 Pr.upf
Sb 121.76 Sb.upf
As 74.92 As.upf
CELL_PARAMETERS angstrom
-2.2299 3.1696 6.7320
2.2299 -3.1696 6.7320
2.2299 3.1696 -6.7320
ATOMIC_POSITIONS crystal
Pr 0.0000 0.0000 0.0000
Pr 0.3432 0.3432 0.0000
Pr 0.6568 0.6568 0.0000
Sb 0.1698 0.6698 0.5000
Sb 0.8302 0.3302 0.5000
As 0.5000 0.0000 0.5000
```

Properties
The density of states at the Fermi level is 0.20 states/eV/atom. The calculation puts the total moment at 0.000 μB/cell. Its total energy is -34.9 eV/cell. For the uncorrected formation energy, the calculation gives -7.65 eV/f.u.